Rb3MnS, relaxed, DFT GGA-PBE; DOS at the Fermi energy = 2.090 states/eV per atom; crystal system = cubic; magnetic moment = 4.42 Bohr magnetons per cell; symmetry = Pm-3m (221); energy relative to the lowest polymorph listed for this composition = 0.000 eV/atom; raw formation energy = 0.20 eV/f.u.
1.0
-4.976 0.180 -4.073
-0.981 -6.290 0.920
-3.957 1.333 4.893
Mn Rb S
1 3 1
Cartesian
-4.957 -2.388 0.870
-0.491 -3.145 0.460
-2.488 0.090 -2.036
-1.978 0.667 2.447
0.000 0.000 0.000